SiS2O | PBE-GGA | relaxed

a b c (Å): 4.108 4.108 4.108
angles (deg): 60.00 60.00 60.00
Fractional coordinates of all 4 atoms:
1 S 0.250 0.250 0.250
2 S 0.750 0.750 0.750
3 Si 0.500 0.500 0.500
4 O 0.000 0.000 0.000

total magnetic moment = 0.00 μB/atom
energy relative to the elements, uncorrected = 0.651 eV/atom
SG = Fm-3m
relative energy among the computed polymorphs = 707 meV/atom



Y2Be3Ge4Pd | PBE-GGA | relaxed

a b c (Å): 4.045 4.045 10.005
angles (deg): 90.00 90.00 90.00
Fractional coordinates of all 10 atoms:
1 Y 0.500 0.000 0.250
2 Y 0.000 0.500 0.750
3 Be 0.000 0.000 0.500
4 Be 0.500 0.000 0.869
5 Be 0.000 0.500 0.131
6 Ge 0.500 0.500 0.000
7 Ge 0.000 0.000 0.000
8 Ge 0.500 0.000 0.646
9 Ge 0.000 0.500 0.354
10 Pd 0.500 0.500 0.500

total magnetic moment = 0.00 μB/atom
SG = P-4m2
E = -52.5 eV per cell